No. 1
KCo2Hg | PBE-GGA | relaxed

* total moment: 3.09 μB per formula unit
* calculated total energy: -2.93 eV/atom
* E_form: 0.98 eV per atom
* space-group type: R-3m, No. 166

```
KCo2Hg
1.0
1.463 0.845 10.135
-1.463 0.845 10.135
0.000 -1.689 10.135
K Co Hg
1 2 1
Cartesian
0.000 0.000 0.000 K
0.000 0.000 7.319 Co
0.000 0.000 23.085 Co
0.000 0.000 15.202 Hg
```



No. 2
LaTa2Cu | PBE-GGA | relaxed

* total moment: 0.00 μB per formula unit
* calculated total energy: -7.45 eV/atom
* energy above the most stable polymorph in this dataset: 482 meV per atom
* E_form: 0.74 eV per atom
* space-group type: Fm-3m, No. 225

```
LaTa2Cu
1.0
0.000 3.339 3.339
3.339 0.000 3.339
3.339 3.339 0.000
La Ta Cu
1 2 1
Cartesian
0.000 0.000 0.000 La
1.670 1.670 1.670 Ta
5.009 5.009 5.009 Ta
3.339 3.339 3.339 Cu
```



No. 3
Mg5Ga2Ag12 | PBE-GGA | relaxed

* total moment: 0.00 μB per formula unit
* calculated total energy: -2.66 eV/atom
* energy above the most stable polymorph in this dataset: 0 meV per atom
* E_form: -0.12 eV per atom
* space-group type: C2/m, No. 12

```
Mg5Ga2Ag12
1.0
6.695 -3.907 0.000
6.695 3.907 0.000
-0.022 0.000 6.731
Mg Ga Ag
5 2 12
Cartesian
0.000 0.000 0.000 Mg
3.214 0.000 0.465 Mg
4.111 0.000 3.501 Mg
9.258 0.000 3.230 Mg
10.155 0.000 6.266 Mg
6.684 1.617 3.365 Ga
6.684 -1.617 3.365 Ga
4.537 2.442 1.767 Ag
1.291 0.000 2.613 Ag
5.064 1.580 5.715 Ag
8.832 2.442 4.964 Ag
8.304 1.580 1.016 Ag
5.931 0.000 1.276 Ag
7.437 0.000 5.455 Ag
5.064 -1.580 5.715 Ag
4.537 -2.442 1.767 Ag
8.304 -1.580 1.016 Ag
12.078 0.000 4.118 Ag
8.832 -2.442 4.964 Ag
```



No. 4
LiNpICl4 | PBE-GGA | relaxed

* total moment: 3.00 μB per formula unit
* calculated total energy: -4.91 eV/atom
* formation energy (no corrections): -1513 meV per atom
* space-group type: C2/m, No. 12

```
LiNpICl4
1.0
5.871 -4.405 0.000
5.871 4.405 0.000
-5.470 0.000 10.085
Li Np I Cl
2 2 2 8
Cartesian
0.456 0.000 3.336 Li
5.815 0.000 6.749 Li
1.034 0.000 7.868 Np
5.238 0.000 2.216 Np
-1.583 0.000 9.508 I
7.854 0.000 0.576 I
0.981 2.583 7.958 Cl
-0.268 0.000 5.638 Cl
5.290 2.583 2.126 Cl
2.865 0.000 3.210 Cl
3.406 0.000 6.875 Cl
0.981 -2.583 7.958 Cl
6.539 0.000 4.446 Cl
5.290 -2.583 2.126 Cl
```



No. 5
LaGdCu2 | PBE-GGA | relaxed

* total moment: 7.35 μB per formula unit
* calculated total energy: -6.96 eV/atom
* energy above the most stable polymorph in this dataset: 13 meV per atom
* E_form: -0.16 eV per atom
* space-group type: Fm-3m, No. 225

```
LaGdCu2
1.0
0.000 3.587 3.587
3.587 0.000 3.587
3.587 3.587 0.000
La Gd Cu
1 1 2
Cartesian
0.000 0.000 0.000 La
3.587 3.587 3.587 Gd
1.794 1.794 1.794 Cu
5.381 5.381 5.381 Cu
```



No. 6
HoBeAg | PBE-GGA | relaxed

* total moment: 0.00 μB per formula unit
* calculated total energy: -3.81 eV/atom
* E_form: -0.10 eV per atom
* space-group type: C2/m, No. 12

```
HoBeAg
1.0
5.825 -1.946 0.000
5.825 1.946 0.000
-1.396 0.000 5.028
Ho Be Ag
2 2 2
Cartesian
0.928 0.000 1.595 Ho
9.327 0.000 3.434 Ho
1.464 0.000 4.448 Be
8.791 0.000 0.580 Be
4.382 0.000 1.213 Ag
5.873 0.000 3.816 Ag
```



No. 7
LaMgScSn | PBE-GGA | relaxed

* total moment: 0.00 μB per formula unit
* calculated total energy: -4.60 eV/atom
* E_form: -0.39 eV per atom
* space-group type: F-43m, No. 216

```
LaMgScSn
1.0
0.000 3.747 3.747
3.747 0.000 3.747
3.747 3.747 0.000
La Mg Sc Sn
1 1 1 1
Cartesian
0.000 0.000 0.000 La
5.620 5.620 5.620 Mg
3.747 3.747 3.747 Sc
1.873 1.873 1.873 Sn
```



No. 8
Ce2ZnP3 | PBE-GGA | relaxed

* total moment: 0.93 μB per formula unit
* calculated total energy: -5.98 eV/atom
* E_form: -1.08 eV per atom
* space-group type: Pnma, No. 62

```
Ce2ZnP3
1.0
7.992 0.000 0.000
0.000 4.018 0.000
0.000 0.000 15.725
Ce Zn P
8 4 12
Cartesian
0.711 1.004 3.427 Ce
1.950 1.004 15.155 Ce
2.046 3.013 7.293 Ce
3.285 3.013 11.290 Ce
4.707 1.004 4.435 Ce
5.946 1.004 8.432 Ce
6.042 3.013 0.570 Ce
7.281 3.013 12.298 Ce
0.926 1.004 9.961 Zn
3.070 3.013 2.098 Zn
4.922 1.004 13.627 Zn
7.066 3.013 5.764 Zn
0.179 1.004 6.352 P
0.882 3.013 1.172 P
1.432 1.004 12.288 P
2.564 3.013 4.426 P
3.114 1.004 9.034 P
3.817 3.013 14.215 P
4.175 1.004 1.510 P
4.878 3.013 6.691 P
5.428 1.004 11.299 P
6.560 3.013 3.437 P
7.110 1.004 14.553 P
7.813 3.013 9.373 P
```



No. 9
Dy2Er2Th15 | PBE-GGA | relaxed

* total moment: 0.00 μB per formula unit
* calculated total energy: -6.53 eV/atom
* E_form: 0.30 eV per atom
* space-group type: R-3m, No. 166

```
Dy2Er2Th15
1.0
5.687 3.284 5.777
-5.687 3.284 5.777
0.000 -6.567 5.777
Dy Er Th
2 2 15
Cartesian
0.000 0.000 3.245 Dy
0.000 0.000 14.086 Dy
0.000 0.000 6.974 Er
0.000 0.000 10.357 Er
-2.844 -1.642 5.777 Th
0.000 -3.375 5.422 Th
-2.923 1.687 5.422 Th
-1.705 -2.953 8.666 Th
-3.409 0.000 8.666 Th
-2.923 -1.687 11.909 Th
-2.844 1.642 11.554 Th
1.705 -2.952 8.666 Th
0.000 3.284 5.777 Th
-1.705 2.952 8.666 Th
2.923 1.687 5.422 Th
3.409 0.000 8.666 Th
1.705 2.952 8.666 Th
2.923 -1.687 11.909 Th
0.000 3.375 11.909 Th
```



No. 10
Zr2ScBr | PBE-GGA | relaxed

* total moment: 0.00 μB per formula unit
* calculated total energy: -6.33 eV/atom
* formation energy (no corrections): -50 meV per atom
* space-group type: Immm, No. 71

```
Zr2ScBr
1.0
-1.613 2.668 5.347
1.613 -2.668 5.347
1.613 2.668 -5.347
Zr Sc Br
2 1 1
Cartesian
0.000 0.000 2.518 Zr
0.000 0.000 8.176 Zr
0.000 2.668 0.000 Sc
1.613 0.000 0.000 Br
```



No. 11
RbPaSO2 | PBE-GGA | relaxed

* total moment: 0.00 μB per formula unit
* calculated total energy: -7.49 eV/atom
* formation energy (no corrections): -2591 meV per atom
* space-group type: P4mm, No. 99

```
RbPaSO2
1.0
4.377 0.000 0.000
0.000 4.377 0.000
0.000 0.000 5.465
Rb Pa S O
1 1 1 2
Cartesian
0.000 0.000 0.000 Rb
2.188 2.188 2.572 Pa
2.188 2.188 5.283 S
0.000 2.188 2.529 O
2.188 0.000 2.529 O
```



No. 12
AcLa2Er4 | PBE-GGA | relaxed

* total moment: 0.00 μB per formula unit
* calculated total energy: -4.39 eV/atom
* E_form: 0.22 eV per atom
* space-group type: I4/mmm, No. 139

```
AcLa2Er4
1.0
-4.328 4.328 3.339
4.328 -4.328 3.339
4.328 4.328 -3.339
Ac La Er
1 2 4
Cartesian
0.000 0.000 0.000 Ac
4.328 0.000 1.669 La
0.000 4.328 1.669 La
2.646 2.646 0.000 Er
1.682 -1.682 3.339 Er
-1.682 1.682 3.339 Er
1.682 1.682 3.339 Er
```